Entry 1:
## ZrNbFeMo (PBE)

Data for a geometry-optimized ZrNbFeMo structure.

The structure in POSCAR format:
```
ZrNbFeMo
1.0
4.536 0.000 0.000
2.268 3.928 0.000
2.268 1.309 3.704
Nb Fe Zr Mo
1 1 1 1
direct
0.000 0.000 0.000
0.750 0.750 0.750
0.500 0.500 0.500
0.250 0.250 0.250
```

Properties
D(E_F), states/eV/cell: 3.3
ΔH_f (0 K), eV/atom: -0.056
M_tot, μB/cell: 0.4
Energy, Ry per atom: -0.7008
Space-group type: F-43m (216)

=====

Entry 2:
## SbP5 (PBE)

Data for a geometry-optimized SbP5 structure.

The structure in POSCAR format:
```
SbP5
1.0
-1.912 -3.488 -6.533
-1.895 -6.064 -4.259
-6.966 -0.919 -0.990
P Sb
5 1
direct
0.293 0.293 0.024
0.597 0.597 0.399
0.689 0.689 0.054
0.989 0.989 0.461
0.952 0.952 0.189
0.314 0.314 0.372
```

Properties
M_tot, μB/cell: 0.0
Relative energy among the computed polymorphs, kcal/mol of atoms: 0.00
Energy, Ry per atom: -0.3739
Space-group type: Cm (8)
Uncorrected formation energy, eV per atom: 0.108

=====

Entry 3:
## RbMgSi3 (PBE)

Data for a geometry-optimized RbMgSi3 structure.

The structure in POSCAR format:
```
RbMgSi3
1.0
5.491 0.000 0.000
0.000 5.491 0.000
0.000 0.000 5.491
Si Mg Rb
3 1 1
direct
0.000 0.500 0.000
0.000 0.000 0.500
0.500 0.000 0.000
0.500 0.500 0.500
0.000 0.000 0.000
```

Properties
D(E_F), states/eV/cell: 8.1
M_tot, μB/cell: 0.0
Relative energy among the computed polymorphs, kcal/mol of atoms: 28.71
Energy, Ry per atom: -0.1236
Space-group type: Pm-3m (221)
Uncorrected formation energy, eV per atom: 2.084